# 1
Here is an optimized crystal structure of Cr2Pb from the Alexandria database. Energies are from PBE-GGA.

The value obtained for the energy of formation is 709 meV/atom. Its space group is No. 139. As for the polymorph energy (0 for the lowest one): 278.0 meV/atom. Its crystal system is tetragonal. The calculation puts the total magnetization at 0.00 μB/f.u.

a = 5.204 Å, b = 5.204 Å, c = 5.204 Å
α = 144.55°, β = 144.55°, γ = 51.00°
Atoms (fractional coordinates):
Cr 0.309 0.309 0.000
Cr 0.691 0.691 0.000
Pb 0.000 0.000 0.000

# 2
Here is an optimized crystal structure of Rb4Te from the Alexandria database. Energies are from PBE-GGA.

Its space group is No. 221. The calculation puts the uncorrected formation energy at -507 meV per atom. Its crystal system is cubic. The calculation puts the total magnetization at 0.00 μB/f.u.

a = 7.188 Å, b = 7.188 Å, c = 7.188 Å
α = 90.00°, β = 90.00°, γ = 90.00°
Atoms (fractional coordinates):
Te 0.500 0.500 0.500
Rb 0.500 0.500 0.000
Rb 0.000 0.500 0.500
Rb 0.000 0.000 0.000
Rb 0.500 0.000 0.500

# 3
Here is an optimized crystal structure of CsAl2Pb2 from the Alexandria database. Energies are from PBE-GGA.

The value obtained for the energy of formation is 31 meV/atom. Its space group is No. 139. As for the polymorph energy (0 for the lowest one): 60.2 meV/atom. Its crystal system is tetragonal. The calculation puts the total magnetization at 0.00 μB/f.u.

a = 5.169 Å, b = 5.169 Å, c = 6.931 Å
α = 68.10°, β = 68.10°, γ = 90.00°
Atoms (fractional coordinates):
Pb 0.750 0.250 0.500
Pb 0.250 0.750 0.500
Al 0.384 0.384 0.232
Al 0.616 0.616 0.768
Cs 0.000 0.000 0.000

# 4
Here is an optimized crystal structure of Ba2PaBe2N4 from the Alexandria database. Energies are from PBE-GGA.

Its space group is No. 12. The calculation puts the uncorrected formation energy at -939 meV per atom. Its crystal system is monoclinic. The calculation puts the total magnetization at 0.00 μB/f.u.

a = 3.476 Å, b = 6.678 Å, c = 6.395 Å
α = 109.10°, β = 105.77°, γ = 90.00°
Atoms (fractional coordinates):
N 0.799 0.886 0.598
N 0.537 0.798 0.073
N 0.201 0.114 0.402
N 0.463 0.202 0.927
Pa 0.000 0.000 0.000
Be 0.681 0.971 0.362
Be 0.319 0.029 0.638
Ba 0.854 0.418 0.708
Ba 0.146 0.582 0.292

Number 1: VASP energy -0.255 hartree per atom. Number 2: VASP energy -0.070 hartree per atom. Number 3: VASP energy -0.115 hartree per atom. Number 4: VASP energy -0.255 hartree per atom.